# Tb3Tm2Sc3 (PBE, relaxed)
# **Calculated formation energy**: 0.047 eV/atom
# **E_tot**: -82.90 eV/cell
data_Tb3Tm2Sc3
_cell_length_a 4.778
_cell_length_b 4.901
_cell_length_c 19.504
_cell_angle_alpha 90.00
_cell_angle_beta 90.00
_cell_angle_gamma 90.00
_symmetry_space_group_name_H-M 'I m m m'
_symmetry_Int_Tables_number 71
_symmetry_space_group_name_Hall '-I 2 2'
loop_
_atom_site_label
_atom_site_fract_x
_atom_site_fract_y
_atom_site_fract_z
Tb1 0.000 0.000 0.000
Tb2 0.000 0.500 0.122
Tm1 0.000 0.000 0.249
Sc1 0.000 0.000 0.500
Sc2 0.000 0.500 0.375